# KReHg3Te4 (PBE, relaxed)
data_KReHg3Te4
_chemical_formula_sum 'K1 Re1 Hg3 Te4'
_space_group_name_H-M_alt 'P 1'
_space_group_IT_number 1
_cell_length_a 7.864
_cell_length_b 7.864
_cell_length_c 7.864
_cell_angle_alpha 90.00
_cell_angle_beta 90.00
_cell_angle_gamma 90.00
loop_
_space_group_symop_operation_xyz
'x,y,z'
loop_
_atom_site_label
_atom_site_fract_x
_atom_site_fract_y
_atom_site_fract_z
Hg1 0.500 0.500 0.000
Hg2 0.500 0.000 0.500
Hg3 0.000 0.500 0.500
K1 0.000 0.000 0.000
Re1 0.500 0.500 0.500
Te1 0.316 0.316 0.316
Te2 0.684 0.684 0.316
Te3 0.684 0.316 0.684
Te4 0.316 0.684 0.684
# Symmetry   P-43m (215)
# Uncorrected energy   -27.0 eV per cell


# AlPdPb (PBE, relaxed)
data_AlPdPb
_chemical_formula_sum 'Al1 Pd1 Pb1'
_space_group_name_H-M_alt 'P 1'
_space_group_IT_number 1
_cell_length_a 4.610
_cell_length_b 4.610
_cell_length_c 4.610
_cell_angle_alpha 60.00
_cell_angle_beta 60.00
_cell_angle_gamma 60.00
loop_
_space_group_symop_operation_xyz
'x,y,z'
loop_
_atom_site_label
_atom_site_fract_x
_atom_site_fract_y
_atom_site_fract_z
Al1 0.500 0.500 0.500
Pb1 0.250 0.250 0.250
Pd1 0.000 0.000 0.000
# Symmetry   F-43m (216)
# Uncorrected energy   -12.1 eV per cell


# AsPd17 (PBE, relaxed)
data_AsPd17
_chemical_formula_sum 'As2 Pd34'
_space_group_name_H-M_alt 'P 1'
_space_group_IT_number 1
_cell_length_a 4.763
_cell_length_b 5.524
_cell_length_c 28.064
_cell_angle_alpha 90.00
_cell_angle_beta 90.07
_cell_angle_gamma 90.00
loop_
_space_group_symop_operation_xyz
'x,y,z'
loop_
_atom_site_label
_atom_site_fract_x
_atom_site_fract_y
_atom_site_fract_z
As1 0.665 0.500 0.180
As2 0.335 0.000 0.820
Pd1 0.665 0.000 0.170
Pd2 0.163 0.252 0.170
Pd3 0.163 0.748 0.170
Pd4 0.496 0.250 0.253
Pd5 0.496 0.750 0.253
Pd6 0.994 0.500 0.253
Pd7 0.997 0.000 0.253
Pd8 0.329 0.500 0.335
Pd9 0.328 0.000 0.336
Pd10 0.828 0.250 0.336
Pd11 0.828 0.750 0.336
Pd12 0.664 0.000 0.418
Pd13 0.164 0.250 0.418
Pd14 0.164 0.750 0.418
Pd15 0.664 0.500 0.418
Pd16 0.999 0.000 0.500
Pd17 0.500 0.250 0.500
Pd18 0.500 0.750 0.500
Pd19 0.001 0.500 0.500
Pd20 0.336 0.000 0.582
Pd21 0.836 0.250 0.582
Pd22 0.836 0.750 0.582
Pd23 0.336 0.500 0.582
Pd24 0.172 0.250 0.664
Pd25 0.172 0.750 0.664
Pd26 0.672 0.500 0.664
Pd27 0.671 0.000 0.665
Pd28 0.003 0.500 0.747
Pd29 0.006 0.000 0.747
Pd30 0.504 0.251 0.747
Pd31 0.504 0.749 0.747
Pd32 0.837 0.248 0.830
Pd33 0.837 0.752 0.830
Pd34 0.335 0.500 0.830
# Symmetry   P2_1/m (11)
# Uncorrected energy   -184.6 eV per cell


# Zr4CoSbN2 (PBE, relaxed)
data_Zr4CoSbN2
_chemical_formula_sum 'Zr4 Co1 Sb1 N2'
_space_group_name_H-M_alt 'P 1'
_space_group_IT_number 1
_cell_length_a 3.298
_cell_length_b 3.298
_cell_length_c 13.602
_cell_angle_alpha 90.00
_cell_angle_beta 90.00
_cell_angle_gamma 120.00
loop_
_space_group_symop_operation_xyz
'x,y,z'
loop_
_atom_site_label
_atom_site_fract_x
_atom_site_fract_y
_atom_site_fract_z
Co1 0.000 0.000 0.000
N1 0.333 0.667 0.234
N2 0.333 0.667 0.766
Sb1 0.667 0.333 0.500
Zr1 0.667 0.333 0.138
Zr2 0.000 0.000 0.330
Zr3 0.000 0.000 0.670
Zr4 0.667 0.333 0.862
# Symmetry   P-6m2 (187)
# Uncorrected energy   -69.4 eV per cell


Q: Which value of uncorrected energy does entry 4 give?
A: -69.4 eV per cell